First-principles (PBE) data for a relaxed structure of CoSiIr2, as listed in Alexandria via LeMat-Bulk.

## Properties
Energy relative to the elements, uncorrected   -251 meV per atom
Volume   13.0 A^3/atom
E_tot   -7.814 eV per atom
Crystal system   tetragonal

Cell lengths 3.9058, 3.9058, 6.8292 Å; angles 90.00, 90.00, 90.00 degrees
Space group I4/mmm (No. 139)
One atom of each set of equivalent atoms:
Co  0.0000  0.0000  0.0000 (multiplicity 2)
Si  0.0000  0.0000  0.5000 (multiplicity 2)
Ir  0.0000  0.5000  0.2500 (multiplicity 4)



First-principles (PBE) data for a relaxed structure of CoSiIr2, as listed in Alexandria via LeMat-Bulk.

## Properties
Energy relative to the elements, uncorrected   -173 meV per atom
Volume   13.5 A^3/atom
E_tot   -7.736 eV per atom
Crystal system   orthorhombic

Cell lengths 2.8098, 4.4021, 8.7389 Å; angles 90.00, 90.00, 90.00 degrees
Space group Immm (No. 71)
One atom of each set of equivalent atoms:
Co  0.0000  0.0000  0.0000 (multiplicity 2)
Si  0.0000  0.0000  0.5000 (multiplicity 2)
Ir  0.0000  0.5000  0.2191 (multiplicity 4)



First-principles (PBE) data for a relaxed structure of CoSi2Ir, as listed in Alexandria via LeMat-Bulk.

## Properties
Energy relative to the elements, uncorrected   -367 meV per atom
Volume   12.1 A^3/atom
E_tot   -7.070 eV per atom
Crystal system   monoclinic

Cell lengths 2.8285, 3.0838, 5.5698 Å; angles 90.00, 90.36, 90.00 degrees
Space group P2/m (No. 10)
One atom of each set of equivalent atoms:
Co  0.0000  0.0000  0.0000 (multiplicity 1)
Si  0.5004  0.5000  0.2255 (multiplicity 2)
Ir  0.0000  0.0000  0.5000 (multiplicity 1)



Please write out number 3 again, unchanged.
First-principles (PBE) data for a relaxed structure of CoSi2Ir, as listed in Alexandria via LeMat-Bulk.

## Properties
Energy relative to the elements, uncorrected   -367 meV per atom
Volume   12.1 A^3/atom
E_tot   -7.070 eV per atom
Crystal system   monoclinic

Cell lengths 2.8285, 3.0838, 5.5698 Å; angles 90.00, 90.36, 90.00 degrees
Space group P2/m (No. 10)
One atom of each set of equivalent atoms:
Co  0.0000  0.0000  0.0000 (multiplicity 1)
Si  0.5004  0.5000  0.2255 (multiplicity 2)
Ir  0.0000  0.0000  0.5000 (multiplicity 1)